(1)
Material: RbB2P2HO9
Method: DFT, PBE
State: optimized geometry

The calculation puts the total DFT energy (no corrections) at -106.2 eV/f.u.

The structure in POSCAR format:
```
RbB2P2HO9
1.0
6.873 0.000 0.000
0.000 12.422 0.000
-1.144 0.000 8.894
Rb B P H O
4 8 8 4 36
Cartesian
1.383 1.449 1.661
0.811 4.762 6.108
4.918 7.660 2.786
4.346 10.973 7.233
-0.275 7.881 8.583
0.297 10.752 4.136
2.028 7.936 7.631
2.600 10.697 3.184
3.129 1.725 5.711
3.701 4.486 1.263
5.432 1.670 4.758
6.004 4.541 0.311
0.628 0.456 6.034
1.200 5.755 1.587
1.935 8.813 4.945
2.507 9.820 0.498
3.222 2.602 8.397
3.794 3.609 3.950
4.529 6.667 7.307
5.101 11.966 2.860
1.408 6.560 3.655
0.836 12.073 8.102
4.893 0.349 0.792
4.322 5.862 5.240
-0.087 1.682 5.408
0.485 4.529 0.961
0.709 7.086 0.981
0.137 11.547 5.428
1.078 9.290 0.124
0.506 9.343 4.571
0.268 0.397 7.545
0.840 5.814 3.098
0.726 7.373 7.719
1.298 11.260 3.272
2.134 7.416 4.416
1.562 11.217 8.863
2.151 0.599 5.825
2.723 5.612 1.377
2.205 8.892 6.475
2.777 9.741 2.027
2.767 2.558 4.515
3.339 3.653 0.068
2.390 8.769 8.826
2.962 9.864 4.379
2.952 2.681 6.867
3.524 3.530 2.420
3.006 6.810 7.517
3.578 11.823 3.070
4.167 1.205 0.031
3.595 5.006 4.478
4.431 1.162 5.623
5.003 5.049 1.175
4.889 6.608 5.797
5.461 12.025 1.349
5.223 3.079 4.323
4.651 3.132 8.771
5.592 0.875 3.466
5.020 5.336 7.914
5.244 7.893 7.933
5.816 10.740 3.486
```

=====

(2)
Material: RbScBP2HO9
Method: DFT, PBE
State: optimized geometry

The calculation puts the total DFT energy (no corrections) at -109.6 eV/f.u.

The structure in POSCAR format:
```
RbScBP2HO9
1.0
5.398 0.000 0.000
1.433 8.340 0.000
0.519 0.363 8.593
Rb Sc B P H O
2 2 2 4 2 18
Cartesian
1.536 1.147 2.833
5.815 7.556 5.760
1.867 1.994 6.967
5.484 6.709 1.626
3.254 4.981 6.191
4.097 3.722 2.402
3.217 7.043 8.060
2.899 5.954 3.562
4.451 2.750 5.031
4.134 1.660 0.533
1.743 4.702 7.504
5.608 4.002 1.089
1.848 6.539 8.586
1.684 6.699 3.013
2.213 4.155 6.841
3.004 8.287 7.162
2.611 5.776 5.093
2.993 4.534 2.915
3.854 5.910 7.160
3.717 6.950 0.567
3.141 1.970 5.238
4.210 6.733 3.355
3.633 1.754 8.026
3.497 2.793 1.433
4.357 4.169 5.678
4.740 2.927 3.500
4.347 0.416 1.431
5.138 4.548 1.753
5.667 2.004 5.580
5.503 2.165 0.008
```